Record 1
The following is a PBE-GGA calculation of a relaxed structure of Tm4Mg3Cd4, from Alexandria.

CIF file:
```
data_Tm4Mg3Cd4
_space_group_name_H-M_alt 'I m m m'
_space_group_IT_number 71
_space_group_name_Hall '-I 2 2'
_cell_length_a 5.176
_cell_length_b 6.548
_cell_length_c 17.147
_cell_angle_alpha 90.00
_cell_angle_beta 90.00
_cell_angle_gamma 90.00
loop_
_atom_site_label
_atom_site_fract_x
_atom_site_fract_y
_atom_site_fract_z
Tm1 0.000 0.250 0.182
Mg1 0.000 0.000 0.399
Mg2 0.000 0.500 0.500
Cd1 0.000 0.282 0.000
Cd2 0.000 0.500 0.336
```

***

Record 2
The following is a PBE-GGA calculation of a relaxed structure of Tm2MgCd8, from Alexandria.

CIF file:
```
data_Tm2MgCd8
_space_group_name_H-M_alt 'P -1'
_space_group_IT_number 2
_space_group_name_Hall '-P 1'
_cell_length_a 4.706
_cell_length_b 6.768
_cell_length_c 8.548
_cell_angle_alpha 76.30
_cell_angle_beta 74.06
_cell_angle_gamma 89.97
loop_
_atom_site_label
_atom_site_fract_x
_atom_site_fract_y
_atom_site_fract_z
Tm1 0.220 0.158 0.060
Mg1 0.500 0.500 0.500
Cd1 0.028 0.226 0.441
Cd2 0.147 0.664 0.208
Cd3 0.336 0.610 0.825
Cd4 0.403 0.063 0.691
```

***

Record 3
The following is a PBE-GGA calculation of a relaxed structure of TmMg2Cd, from Alexandria.

- Energy above the most stable polymorph in this dataset: 16 meV/atom

CIF file:
```
data_TmMg2Cd
_space_group_name_H-M_alt 'P 4/m m m'
_space_group_IT_number 123
_space_group_name_Hall '-P 4 2'
_cell_length_a 4.449
_cell_length_b 4.449
_cell_length_c 4.845
_cell_angle_alpha 90.00
_cell_angle_beta 90.00
_cell_angle_gamma 90.00
loop_
_atom_site_label
_atom_site_fract_x
_atom_site_fract_y
_atom_site_fract_z
Tm1 0.000 0.000 0.000
Mg1 0.000 0.500 0.500
Cd1 0.500 0.500 0.000
```

***

Record 4
The following is a PBE-GGA calculation of a relaxed structure of TmMg8Cd6, from Alexandria.

CIF file:
```
data_TmMg8Cd6
_space_group_name_H-M_alt 'R -3'
_space_group_IT_number 148
_space_group_name_Hall '-R 3'
_cell_length_a 8.5762
_cell_length_b 8.5762
_cell_length_c 17.2748
_cell_angle_alpha 90.00
_cell_angle_beta 90.00
_cell_angle_gamma 120.00
loop_
_atom_site_label
_atom_site_fract_x
_atom_site_fract_y
_atom_site_fract_z
Tm1 0.0000 0.0000 0.0000
Mg1 0.0000 0.0000 0.3427
Mg2 0.0008 0.3317 0.2149
Cd1 0.0041 0.6614 0.9494
```

***

Record 5
The following is a PBE-GGA calculation of a relaxed structure of Tm3MgCd7, from Alexandria.

CIF file:
```
data_Tm3MgCd7
_space_group_name_H-M_alt 'C m c m'
_space_group_IT_number 63
_space_group_name_Hall '-C 2c 2'
_cell_length_a 3.471
_cell_length_b 19.977
_cell_length_c 15.464
_cell_angle_alpha 90.00
_cell_angle_beta 90.00
_cell_angle_gamma 90.00
loop_
_atom_site_label
_atom_site_fract_x
_atom_site_fract_y
_atom_site_fract_z
Tm1 0.000 0.062 0.090
Tm2 0.000 0.336 0.750
Mg1 0.000 0.117 0.750
Cd1 0.000 0.280 0.152
Cd2 0.000 0.310 0.541
Cd3 0.000 0.424 0.088
Cd4 0.000 0.490 0.750
```

***

Record 6
The following is a PBE-GGA calculation of a relaxed structure of Tm4MgCd, from Alexandria.

- Energy above the most stable polymorph in this dataset: 375 meV/atom

CIF file:
```
data_Tm4MgCd
_space_group_name_H-M_alt 'P 4/m m m'
_space_group_IT_number 123
_space_group_name_Hall '-P 4 2'
_cell_length_a 5.080
_cell_length_b 5.080
_cell_length_c 7.346
_cell_angle_alpha 90.00
_cell_angle_beta 90.00
_cell_angle_gamma 90.00
loop_
_atom_site_label
_atom_site_fract_x
_atom_site_fract_y
_atom_site_fract_z
Tm1 0.000 0.500 0.242
Mg1 0.000 0.000 0.500
Cd1 0.500 0.500 0.000
```

***

Record 7
The following is a PBE-GGA calculation of a relaxed structure of TmMg2Cd9, from Alexandria.

CIF file:
```
data_TmMg2Cd9
_space_group_name_H-M_alt 'I 41/a m d'
_space_group_IT_number 141
_cell_length_a 11.878
_cell_length_b 11.878
_cell_length_c 7.713
_cell_angle_alpha 90.00
_cell_angle_beta 90.00
_cell_angle_gamma 90.00
loop_
_space_group_symop_operation_xyz
'x,y,z'
'-x,-y,-z'
'-y+1/4,x+3/4,z+1/4'
'y+1/4,-x+3/4,-z+1/4'
'-x+1/2,-y,z+1/2'
'x+1/2,y,-z+1/2'
'y+1/4,-x+1/4,z+3/4'
'-y+1/4,x+1/4,-z+3/4'
'x,-y,-z'
'-x,y,z'
'-y+1/4,-x+1/4,-z+3/4'
'y+1/4,x+1/4,z+3/4'
'-x+1/2,y,-z+1/2'
'x+1/2,-y,z+1/2'
'y+1/4,x+3/4,-z+1/4'
'-y+1/4,-x+3/4,z+1/4'
'x+1/2,y+1/2,z+1/2'
'-x+1/2,-y+1/2,-z+1/2'
'-y+3/4,x+1/4,z+3/4'
'y+3/4,-x+1/4,-z+3/4'
'-x,-y+1/2,z'
'x,y+1/2,-z'
'y+3/4,-x+3/4,z+1/4'
'-y+3/4,x+3/4,-z+1/4'
'x+1/2,-y+1/2,-z+1/2'
'-x+1/2,y+1/2,z+1/2'
'-y+3/4,-x+3/4,-z+1/4'
'y+3/4,x+3/4,z+1/4'
'-x,y+1/2,-z'
'x,-y+1/2,z'
'y+3/4,x+1/4,-z+3/4'
'-y+3/4,-x+1/4,z+3/4'
loop_
_atom_site_label
_atom_site_fract_x
_atom_site_fract_y
_atom_site_fract_z
Tm1 0.000 0.250 0.375
Mg1 0.000 0.000 0.000
Cd1 0.000 0.250 0.875
Cd2 0.120 0.049 0.671
```

***

Record 8
The following is a PBE-GGA calculation of a relaxed structure of Tm12Mg2Cd5, from Alexandria.

CIF file:
```
data_Tm12Mg2Cd5
_space_group_name_H-M_alt 'C 1 2/m 1'
_space_group_IT_number 12
_space_group_name_Hall '-C 2y'
_cell_length_a 12.321
_cell_length_b 10.504
_cell_length_c 8.230
_cell_angle_alpha 90.00
_cell_angle_beta 102.83
_cell_angle_gamma 90.00
loop_
_atom_site_label
_atom_site_fract_x
_atom_site_fract_y
_atom_site_fract_z
Tm1 0.078 0.000 0.206
Tm2 0.106 0.241 0.895
Tm3 0.134 0.500 0.636
Tm4 0.177 0.308 0.302
Mg1 0.000 0.227 0.500
Cd1 0.000 0.500 0.000
Cd2 0.132 0.000 0.599
Cd3 0.246 0.500 0.022
```

***

Record 9
The following is a PBE-GGA calculation of a relaxed structure of Tm6MgCd5, from Alexandria.

CIF file:
```
data_Tm6MgCd5
_space_group_name_H-M_alt 'C m m m'
_space_group_IT_number 65
_space_group_name_Hall '-C 2 2'
_cell_length_a 5.233
_cell_length_b 15.786
_cell_length_c 7.377
_cell_angle_alpha 90.00
_cell_angle_beta 90.00
_cell_angle_gamma 90.00
loop_
_atom_site_label
_atom_site_fract_x
_atom_site_fract_y
_atom_site_fract_z
Tm1 0.000 0.000 0.246
Tm2 0.000 0.331 0.251
Mg1 0.000 0.500 0.500
Cd1 0.000 0.160 0.500
Cd2 0.000 0.166 0.000
Cd3 0.000 0.500 0.000
```

***

Record 10
The following is a PBE-GGA calculation of a relaxed structure of TmMgCd, from Alexandria.

CIF file:
```
data_TmMgCd
_space_group_name_H-M_alt 'P 3 m 1'
_space_group_IT_number 156
_space_group_name_Hall 'P 3 -2"'
_cell_length_a 5.0043
_cell_length_b 5.0043
_cell_length_c 3.3841
_cell_angle_alpha 90.00
_cell_angle_beta 90.00
_cell_angle_gamma 120.00
loop_
_atom_site_label
_atom_site_fract_x
_atom_site_fract_y
_atom_site_fract_z
Tm1 0.0000 0.0000 0.0000
Mg1 0.3333 0.6667 0.5014
Cd1 0.6667 0.3333 0.4985
```

***

Record 11
The following is a PBE-GGA calculation of a relaxed structure of Tm2Mg15Cd2, from Alexandria.

CIF file:
```
data_Tm2Mg15Cd2
_space_group_name_H-M_alt 'R -3 m'
_space_group_IT_number 166
_space_group_name_Hall '-R 3 2"'
_cell_length_a 10.1218
_cell_length_b 10.1218
_cell_length_c 15.1669
_cell_angle_alpha 90.00
_cell_angle_beta 90.00
_cell_angle_gamma 120.00
loop_
_atom_site_label
_atom_site_fract_x
_atom_site_fract_y
_atom_site_fract_z
Tm1 0.0000 0.0000 0.1767
Mg1 0.0000 0.3085 0.5000
Mg2 0.0000 0.5000 0.0000
Mg3 0.0085 0.5042 0.6528
Cd1 0.0000 0.0000 0.3999
```

***

Record 12
The following is a PBE-GGA calculation of a relaxed structure of TmMg3Cd2, from Alexandria.

- Energy above the most stable polymorph in this dataset: 60 meV/atom

CIF file:
```
data_TmMg3Cd2
_space_group_name_H-M_alt 'C 1 2/m 1'
_space_group_IT_number 12
_space_group_name_Hall '-C 2y'
_cell_length_a 16.747
_cell_length_b 4.759
_cell_length_c 7.517
_cell_angle_alpha 90.00
_cell_angle_beta 110.29
_cell_angle_gamma 90.00
loop_
_atom_site_label
_atom_site_fract_x
_atom_site_fract_y
_atom_site_fract_z
Tm1 0.113 0.000 0.181
Mg1 0.072 0.000 0.705
Mg2 0.120 0.500 0.505
Mg3 0.200 0.500 0.931
Cd1 0.020 0.500 0.835
Cd2 0.239 0.000 0.651
```

***

Spin magnetization / μB per formula unit: 0.00 0.00 0.00 0.00 0.00 0.00 0.00 0.00 0.00 0.00 0.00 0.00
Formation enthalpy at 0 K / eV per atom: 0.014 -0.153 -0.150 -0.027 -0.161 0.267 -0.051 -0.068 -0.273 -0.194 -0.018 -0.121